1.
Entry from Alexandria: crystalline KBa2PW at its relaxed geometry (PBE).

Values from the calculation:
Distance to the lowest polymorph of the same formula = 0.0 kJ/mol of formula units
ΔH_f (0 K) = 0.28 eV/atom

a b c (Å): 6.4152 4.6884 6.4152
angles (deg): 90.00 90.00 90.00
With the nearest neighbours (Å) after each atom.
Element x y z (fractional)
Ba  0.0000  0.0000  0.5000  2 P 3.21
Ba  0.5000  0.0000  0.0000  2 P 3.21
W  0.0000  0.5000  0.0000  2 P 2.34
P  0.0000  0.0000  0.0000  2 W 2.34
K  0.5000  0.5000  0.5000  8 Ba 3.97



2.
Entry from Alexandria: crystalline SrHf3Tc at its relaxed geometry (PBE).

Values from the calculation:
Distance to the lowest polymorph of the same formula = 1010.9 kJ/mol of formula units
ΔH_f (0 K) = 2.45 eV/atom

a b c (Å): 4.9210 4.9210 4.9210
angles (deg): 90.00 90.00 90.00
With the nearest neighbours (Å) after each atom.
Element x y z (fractional)
Sr  0.0000  0.0000  0.0000  6 Hf 2.46
Hf  0.0000  0.0000  0.5000  2 Sr 2.46
Hf  0.0000  0.5000  0.0000  2 Sr 2.46
Hf  0.5000  0.0000  0.0000  2 Sr 2.46
Tc  0.5000  0.5000  0.5000  12 Hf 3.48



3.
Entry from Alexandria: crystalline RbAl2Ga2 at its relaxed geometry (PBE).

Values from the calculation:
Distance to the lowest polymorph of the same formula = 78.5 kJ/mol of formula units
ΔH_f (0 K) = 0.13 eV/atom

a b c (Å): 8.6367 8.6367 3.0079
angles (deg): 90.00 90.00 90.00
With the nearest neighbours (Å) after each atom.
Element x y z (fractional)
Al  0.8728  0.6272  0.0000  6 Ga 2.88-3.05, 3 Al 3.01-3.11
Al  0.6272  0.1272  0.0000  6 Ga 2.88-3.05, 3 Al 3.01-3.11
Al  0.1272  0.3728  0.0000  6 Ga 2.88-3.05, 3 Al 3.01-3.11
Al  0.3728  0.8728  0.0000  6 Ga 2.88-3.05, 3 Al 3.01-3.11
Ga  0.3445  0.1555  0.5000  6 Al 2.88-3.05, 2 Ga 3.01
Ga  0.8445  0.3445  0.5000  6 Al 2.88-3.05, 2 Ga 3.01
Ga  0.1555  0.6555  0.5000  6 Al 2.88-3.05, 2 Ga 3.01
Ga  0.6555  0.8445  0.5000  6 Al 2.88-3.05, 2 Ga 3.01
Rb  0.5000  0.5000  0.0000  2 Rb 3.01
Rb  0.0000  0.0000  0.0000  2 Rb 3.01



We obtain mass density values of 4.55, 10.05, 4.13 Mg/m³ for the records listed above, in that order.